Record 1
The following is a GGA-PBE calculation of an optimized crystal structure of NbB2Au, from OQMD via LeMat-Bulk.

a = 4.2354 Å, b = 4.2354 Å, c = 4.2354 Å
α = 60.00°, β = 60.00°, γ = 60.00°
Each line ends with the local moment (μB).
Fractional coordinates of all 4 atoms:
Nb1 0.7500 0.7500 0.7500  0.42
B1 0.2500 0.2500 0.2500  0.01
Au1 0.5000 0.5000 0.5000  0.02
B2 0.0000 0.0000 0.0000  0.07

Properties
The total energy is -21.329 eV/cell. Its space group is F-43m, No. 216.

***

Record 2
The following is a GGA-PBE calculation of an optimized crystal structure of NdB4Au, from OQMD via LeMat-Bulk.

a = 5.2899 Å, b = 5.2899 Å, c = 5.2899 Å
α = 144.82°, β = 119.44°, γ = 72.01°
Fractional coordinates of all 6 atoms:
B1 0.5507 0.2360 0.3147
Nd1 0.5000 0.5000 0.0000
B2 0.0786 0.7640 0.3147
B3 0.4493 0.7640 0.6853
B4 0.9214 0.2360 0.6853
Au1 0.0000 0.0000 0.0000

Properties
The calculation puts the polymorph energy (0 for the lowest one) at 0 meV per atom. Its space group is Immm, No. 71.